A plane-wave DFT calculation with PBE was carried out for RbPrRuO6 after structural relaxation.

Computed properties:
* energy relative to the elements, uncorrected: -1448 meV/atom
* total magnetic moment: 0.00 μB per formula unit
* total DFT energy (no corrections): -6.423 eV per atom

Unit cell a=5.806 b=5.806 c=6.072 alpha=90.01 beta=90.00 gamma=60.00
Sites, in units of the cell vectors:
Rb: 0.000 0.000 0.000
Pr: 0.667 0.667 0.500
Ru: 0.333 0.333 0.500
O: 0.059 0.351 0.320
O: 0.351 0.059 0.680
O: 0.589 0.351 0.680
O: 0.059 0.589 0.680
O: 0.351 0.589 0.320
O: 0.589 0.059 0.320